No. 1
GGA-PBE Tb4PrDy4, optimized geometry; ΔE to the lowest computed polymorph = 0.0 meV/atom; SG = P-1 (2); crystal system = triclinic; volume = 32.2 Å³/atom; ΔH_f (0 K) = 0.00 eV per atom; calculated density = 8.171 g cm⁻³
1.0
6.2260 0.0000 0.0000
1.0487 8.8170 0.0000
0.0095 2.1817 10.5630
Tb Pr Dy
8 2 8
Cartesian
1.0351 1.7601 1.4678 Tb
1.0388 2.4914 5.0022 Tb
1.0557 3.2172 8.5115 Tb
3.1284 7.4141 0.2789 Tb
4.1557 3.5846 10.2842 Tb
6.2284 7.7815 2.0515 Tb
6.2453 8.5073 5.5608 Tb
6.2491 9.2386 9.0953 Tb
2.0841 4.9544 2.6414 Pr
5.2001 6.0443 7.9216 Pr
2.0866 6.4105 9.6813 Dy
2.0910 5.6827 6.1590 Dy
3.1223 8.8703 7.3266 Dy
3.1343 8.1477 3.8184 Dy
4.1499 2.8510 6.7446 Dy
4.1619 2.1284 3.2364 Dy
5.1931 5.3160 4.4040 Dy
5.1976 4.5882 0.8817 Dy

***

No. 2
GGA-PBE Tm5Cd2Co2, optimized geometry; SG = Cmce (64); crystal system = orthorhombic; volume = 23.4 Å³/atom; ΔH_f (0 K) = -0.26 eV per atom; calculated density = 9.374 g cm⁻³
1.0
8.2086 -3.5621 0.0000
8.2086 3.5621 0.0000
0.0000 0.0000 7.1932
Tm Cd Co
10 4 4
Cartesian
0.0000 0.0000 0.0000 Tm
6.2775 2.2376 4.9236 Tm
6.2775 1.3245 1.3270 Tm
10.1398 2.2376 4.9236 Tm
10.1398 1.3245 1.3270 Tm
8.2086 0.0000 3.5966 Tm
6.2775 -1.3245 5.8662 Tm
6.2775 -2.2376 2.2696 Tm
10.1398 -1.3245 5.8662 Tm
10.1398 -2.2376 2.2696 Tm
3.7116 0.0000 0.0000 Cd
4.4970 0.0000 3.5966 Cd
11.9203 0.0000 3.5966 Cd
12.7057 0.0000 0.0000 Cd
8.2086 2.7788 2.7883 Co
8.2086 0.7833 6.3849 Co
8.2086 -0.7833 0.8083 Co
8.2086 -2.7788 4.4049 Co

***

No. 3
GGA-PBE Re2WSe, optimized geometry; total DFT energy (no corrections) = -10.0235 eV/atom; SG = R3m (160); crystal system = trigonal; volume = 15.8 Å³/atom; calculated density = 16.704 g cm⁻³
1.0
1.4468 0.8353 8.7082
-1.4468 0.8353 8.7082
0.0000 -1.6707 8.7082
Re W Se
2 1 1
Cartesian
0.0000 0.0000 0.0000 Re
0.0000 0.0000 6.6248 Re
0.0000 0.0000 13.0212 W
0.0000 0.0000 19.7333 Se

***

No. 4
GGA-PBE KGe3Ir, optimized geometry; ΔE to the lowest computed polymorph = 392.1 meV/atom; SG = Pm-3m (221); crystal system = cubic; volume = 24.7 Å³/atom; ΔH_f (0 K) = 0.28 eV per atom; calculated density = 6.035 g cm⁻³
1.0
4.9813 0.0000 0.0000
0.0000 4.9813 0.0000
0.0000 0.0000 4.9813
K Ge Ir
1 3 1
Cartesian
0.0000 0.0000 0.0000 K
0.0000 2.4907 2.4907 Ge
2.4907 0.0000 2.4907 Ge
2.4907 2.4907 0.0000 Ge
2.4907 2.4907 2.4907 Ir

***

No. 5
GGA-PBE LaY2OsPb, optimized geometry; ΔE to the lowest computed polymorph = 1195.4 meV/atom; SG = P4/mmm (123); crystal system = tetragonal; volume = 30.2 Å³/atom; ΔH_f (0 K) = 1.00 eV per atom; calculated density = 7.862 g cm⁻³
1.0
5.5962 0.0000 0.0000
0.0000 5.5962 0.0000
0.0000 0.0000 4.8160
La Y Os Pb
1 2 1 1
Cartesian
0.0000 0.0000 0.0000 La
0.0000 2.7981 0.0000 Y
2.7981 0.0000 0.0000 Y
0.0000 0.0000 2.4080 Os
2.7981 2.7981 2.4080 Pb

***

No. 6
GGA-PBE Ba8MgHg2, optimized geometry; SG = Cm (8); crystal system = monoclinic; volume = 50.3 Å³/atom; ΔH_f (0 K) = -0.14 eV per atom; calculated density = 4.573 g cm⁻³
1.0
5.4327 -7.9312 0.0000
5.4327 7.9312 0.0000
-1.7319 0.0000 6.4220
Ba Mg Hg
8 1 2
Cartesian
0.0000 0.0000 0.0000 Ba
0.8791 2.0537 3.8956 Ba
3.6917 3.8281 1.2539 Ba
0.8791 -2.0537 3.8956 Ba
4.7724 2.0556 5.0341 Ba
3.6917 -3.8281 1.2539 Ba
4.7724 -2.0556 5.0341 Ba
7.3764 0.0000 2.5046 Ba
3.6822 0.0000 1.2507 Mg
2.8249 5.0315 4.4636 Hg
2.8249 -5.0315 4.4636 Hg

***

No. 7
GGA-PBE Li2CuGe, optimized geometry; SG = R3m (160); crystal system = trigonal; volume = 16.5 Å³/atom; ΔH_f (0 K) = 0.13 eV per atom; calculated density = 3.772 g cm⁻³
1.0
1.4020 0.8094 9.7019
-1.4020 0.8094 9.7019
0.0000 -1.6189 9.7019
Li Cu Ge
2 1 1
Cartesian
0.0000 0.0000 0.0000 Li
0.0000 0.0000 12.2223 Li
0.0000 0.0000 17.3213 Cu
0.0000 0.0000 14.8497 Ge

***

No. 8
GGA-PBE ThCdCuRu, optimized geometry; SG = F-43m (216); crystal system = cubic; volume = 20.0 Å³/atom; ΔH_f (0 K) = -0.04 eV per atom; calculated density = 10.588 g cm⁻³
1.0
0.0000 3.4176 3.4176
3.4176 0.0000 3.4176
3.4176 3.4176 0.0000
Th Cd Cu Ru
1 1 1 1
Cartesian
0.0000 0.0000 0.0000 Th
3.4176 3.4176 3.4176 Cd
5.1264 5.1264 5.1264 Cu
1.7088 1.7088 1.7088 Ru

***

No. 9
GGA-PBE Mo4AsCl, optimized geometry; total DFT energy (no corrections) = -7.3994 eV/atom; SG = F-43m (216); crystal system = cubic; volume = 17.6 Å³/atom; calculated density = 7.771 g cm⁻³
1.0
0.0000 3.7514 3.7514
3.7514 0.0000 3.7514
3.7514 3.7514 0.0000
Mo As Cl
4 1 1
Cartesian
2.8342 2.8342 2.8342 Mo
4.6687 4.6687 2.8342 Mo
4.6687 2.8342 4.6687 Mo
2.8342 4.6687 4.6687 Mo
0.0000 0.0000 0.0000 As
5.6272 5.6272 5.6272 Cl

***

No. 10
GGA-PBE LaCrP, optimized geometry; SG = P-6m2 (187); crystal system = hexagonal; volume = 20.1 Å³/atom; ΔH_f (0 K) = -0.48 eV per atom; calculated density = 6.101 g cm⁻³
1.0
4.0333 0.0000 0.0000
-2.0167 3.4930 0.0000
0.0000 0.0000 4.2863
La Cr P
1 1 1
Cartesian
0.0000 0.0000 0.0000 La
0.0000 2.3286 2.1432 Cr
2.0167 1.1643 2.1432 P

***

No. 11
GGA-PBE Zr3CdPd3, optimized geometry; SG = P2_13 (198); crystal system = cubic; volume = 19.9 Å³/atom; ΔH_f (0 K) = -0.42 eV per atom; calculated density = 8.422 g cm⁻³
1.0
8.2241 0.0000 0.0000
0.0000 8.2241 0.0000
0.0000 0.0000 8.2241
Zr Cd Pd
12 4 12
Cartesian
0.3488 3.7633 4.4608 Zr
1.4834 1.4834 1.4834 Zr
1.7599 6.4642 2.3521 Zr
2.3521 1.7599 6.4642 Zr
2.6286 6.7407 5.5955 Zr
3.7633 4.4608 0.3488 Zr
4.4608 0.3488 3.7633 Zr
5.5955 2.6286 6.7407 Zr
5.8720 5.8720 5.8720 Zr
6.4642 2.3521 1.7599 Zr
6.7407 5.5955 2.6286 Zr
7.8754 7.8754 7.8754 Zr
0.9517 5.0637 7.2725 Cd
3.1604 3.1604 3.1604 Cd
5.0637 7.2725 0.9517 Cd
7.2725 0.9517 5.0637 Cd
0.0523 6.5744 4.7851 Pd
0.6731 4.0598 1.6497 Pd
1.6497 0.6731 4.0598 Pd
2.4623 7.5511 8.1718 Pd
3.4390 4.1644 5.7618 Pd
4.0598 1.6497 0.6731 Pd
4.1644 5.7618 3.4390 Pd
4.7851 0.0523 6.5744 Pd
5.7618 3.4390 4.1644 Pd
6.5744 4.7851 0.0523 Pd
7.5511 8.1718 2.4623 Pd
8.1718 2.4623 7.5511 Pd

***

No. 12
GGA-PBE CsNaAs2, optimized geometry; SG = Fm-3m (225); crystal system = cubic; volume = 30.7 Å³/atom; ΔH_f (0 K) = 0.28 eV per atom; calculated density = 4.141 g cm⁻³
1.0
0.0000 3.9429 3.9429
3.9429 0.0000 3.9429
3.9429 3.9429 0.0000
Cs Na As
1 1 2
Cartesian
0.0000 0.0000 0.0000 Cs
3.9429 3.9429 3.9429 Na
1.9715 1.9715 1.9715 As
5.9144 5.9144 5.9144 As